Record 1
## La10Ge3As3 (GGA-PBE)

Data for a relaxed structure of La10Ge3As3.

Cell: 6.6148 9.0923 9.0923 Å, 120.00 90.00 90.00°
With the nearest neighbours (Å) after each atom.
Sites, in units of the cell vectors:
La 0.0000 0.0000 0.2523  3 As 3.05-3.33
La 0.5000 0.0000 0.7435  3 Ge 3.08-3.27
La 0.2418 0.3333 0.6667  2 La 3.20-3.42, 3 As 3.26, 3 Ge 3.30
La 0.7582 0.6667 0.3333  2 La 3.20-3.42, 3 As 3.26, 3 Ge 3.30
La 0.5000 0.2565 0.2565  3 Ge 3.08-3.27
La 0.0000 0.7477 0.7477  3 As 3.05-3.33
La 0.0000 0.2523 0.0000  3 As 3.05-3.33
La 0.7582 0.3333 0.6667  2 La 3.20-3.42, 3 As 3.26, 3 Ge 3.30
La 0.2418 0.6667 0.3333  2 La 3.20-3.42, 3 As 3.26, 3 Ge 3.30
La 0.5000 0.7435 0.0000  3 Ge 3.08-3.27
Ge 0.5000 0.3842 0.0000  7 La 3.08-3.30
Ge 0.5000 0.0000 0.3842  7 La 3.08-3.30
Ge 0.5000 0.6158 0.6158  7 La 3.08-3.30
As 0.0000 0.0000 0.6191  7 La 3.05-3.33
As 0.0000 0.3809 0.3809  7 La 3.05-3.33
As 0.0000 0.6191 0.0000  7 La 3.05-3.33

Results
VASP energy: -5.729 eV/atom
magnetic moment: 0.002 μB/cell
formation enthalpy at 0 K: -88 kJ/mol of atoms

=====

Record 2
## PaSi2Ge (GGA-PBE)

Data for a relaxed structure of PaSi2Ge.

Cell: 4.3940 4.3940 5.2154 Å, 65.09 65.09 60.00°
With the nearest neighbours (Å) after each atom.
Sites, in units of the cell vectors:
Pa 0.5000 0.5000 0.5000  8 Si 2.97-2.99
Ge 0.0000 0.0000 0.0000  6 Si 2.63
Si 0.7173 0.7173 0.8481  3 Ge 2.63, 3 Si 2.89
Si 0.2827 0.2827 0.1519  3 Ge 2.63, 3 Si 2.89

Results
energy relative to the elements, uncorrected: -0.2 eV per formula unit
VASP energy: -6.281 eV/atom
magnetic moment: 0.000 μB/cell

=====

Record 3
## YSc2Ag (GGA-PBE)

Data for a relaxed structure of YSc2Ag.

Cell: 6.0706 6.0706 6.0706 Å, 138.46 138.46 60.20°
With the nearest neighbours (Å) after each atom.
Sites, in units of the cell vectors:
Ag 0.7500 0.2500 0.5000  4 Y 3.04, 8 Sc 3.40
Sc 0.0000 0.0000 0.0000  4 Sc 3.04, 4 Y 3.40, 4 Ag 3.40
Sc 0.5000 0.5000 0.0000  4 Sc 3.04, 4 Ag 3.40, 4 Y 3.40
Y 0.2500 0.7500 0.5000  4 Ag 3.04, 8 Sc 3.40

Results
VASP energy: -5.470 eV/atom
magnetic moment: 0.343 μB/cell
formation enthalpy at 0 K: 2 kJ/mol of atoms